# 1
Compound: NiPd3Pt
Source: Alexandria
Functional: PBE
Structure: optimized geometry

extended XYZ file:
```
5
Lattice="4.485 0.000 0.000 0.000 4.485 0.000 0.000 0.000 4.485" Properties=species:S:1:pos:R:3 pbc="T T T"
Ni 0.000 0.000 0.000
Pd 0.000 0.000 2.242
Pd 0.000 2.242 0.000
Pd 2.242 0.000 0.000
Pt 2.242 2.242 2.242
```

Results
Crystal system: cubic
DOS at the Fermi energy: 1.72 states/eV/atom

***

# 2
Compound: NiPd4Pt2
Source: Alexandria
Functional: PBE
Structure: optimized geometry

extended XYZ file:
```
7
Lattice="-2.291 2.291 6.320 2.291 -2.291 6.320 2.291 2.291 -6.320" Properties=species:S:1:pos:R:3 pbc="T T T"
Ni 0.000 0.000 0.000
Pd 2.291 0.000 0.000
Pd 0.000 0.000 2.383
Pd 0.000 2.291 0.000
Pd 0.000 0.000 10.256
Pt 0.000 0.000 4.931
Pt 0.000 0.000 7.708
```

Results
Crystal system: tetragonal
DOS at the Fermi energy: 2.01 states/eV/atom

***

# 3
Compound: Ni3Pd2Pt
Source: Alexandria
Functional: PBE
Structure: optimized geometry

extended XYZ file:
```
12
Lattice="4.651 0.000 0.000 -0.127 5.281 0.000 -0.142 -0.189 6.548" Properties=species:S:1:pos:R:3 pbc="T T T"
Ni 0.243 1.894 2.196
Ni 0.871 3.125 6.540
Ni 1.692 4.541 4.360
Ni 2.690 0.551 2.189
Ni 3.511 1.966 0.008
Ni 4.139 3.198 4.352
Pd 1.181 0.728 0.067
Pd 1.800 1.948 4.412
Pd 2.582 3.144 2.137
Pd 3.201 4.363 6.481
Pt 0.273 4.531 2.204
Pt 4.109 0.560 4.344
```

Results
Crystal system: triclinic
DOS at the Fermi energy: 1.58 states/eV/atom

***

# 4
Compound: Ni5Pd8Pt
Source: Alexandria
Functional: PBE
Structure: optimized geometry

extended XYZ file:
```
14
Lattice="-3.710 3.710 3.765 3.710 -3.710 3.765 3.710 3.710 -3.765" Properties=species:S:1:pos:R:3 pbc="T T T"
Ni 0.000 0.000 0.000
Ni 1.539 -0.883 3.120
Ni 2.827 2.171 0.645
Ni 2.171 4.593 -0.645
Ni 0.883 1.539 4.410
Pd 2.463 -0.508 0.634
Pd 2.970 2.468 -1.829
Pd 4.957 0.508 0.634
Pd 4.218 -1.247 3.131
Pd 0.740 1.242 1.935
Pd 3.202 1.247 3.131
Pd 1.242 -0.740 5.594
Pd 2.468 4.450 1.829
Pt 0.000 3.710 1.882
```

Results
Crystal system: tetragonal
DOS at the Fermi energy: 1.78 states/eV/atom

***

| no. | raw total energy (eV per atom) | M_tot (μB/f.u.) |
| --- | --- | --- |
| 1 | -4.554 | 0.8 |
| 2 | -4.775 | 1.6 |
| 3 | -5.629 | 3.4 |
| 4 | -5.231 | 6.4 |